# 1
Here is a relaxed structure of ThFe2Ge2 from Alexandria. Energies are from PBE.

```
10
Lattice="0.0000 5.0202 6.3011 2.7351 0.0000 6.3011 2.7351 5.0202 0.0000" Properties=species:S:1:pos:R:3 pbc="T T T"
Th 0.6838 1.2551 1.5753
Th 4.7864 8.7854 11.0269
Fe 2.0513 3.7652 3.3461
Fe 2.0513 3.7652 6.1055
Fe 3.4188 6.2753 6.4966
Fe 3.4188 6.2753 9.2560
Ge 2.0513 1.8697 4.7258
Ge 3.4188 4.3799 7.8763
Ge 2.0513 5.6606 4.7258
Ge 3.4188 8.1707 7.8763
```

ΔH_f (0 K) in eV/atom: -0.421
Offset from the most stable computed form in eV per formula unit: 0.33
Calculated volume in Å³/f.u.: 86.5
Total magnetic moment in μB per formula unit: 0.0

---

# 2
Here is a relaxed structure of La4NiSn2 from Alexandria. Energies are from PBE.

```
14
Lattice="6.6044 0.0000 0.0000 0.0000 7.0213 0.0000 -2.3632 0.0000 9.4293" Properties=species:S:1:pos:R:3 pbc="T T T"
La 1.0371 1.7553 0.9649
La 0.0333 0.0281 7.1527
La 0.0333 3.4825 7.1527
La 0.9391 5.2660 3.7817
La 3.3020 1.7553 5.6476
La 4.2079 3.5388 2.2767
La 4.2079 6.9932 2.2767
La 3.2041 5.2660 8.4644
Ni 2.2612 1.7553 3.2789
Ni 1.9799 5.2660 6.1504
Sn -0.1400 1.7553 4.2064
Sn 1.9132 5.2660 0.5603
Sn 2.3280 1.7553 8.8690
Sn 4.3811 5.2660 5.2229
```

ΔH_f (0 K) in eV/atom: -0.561
Calculated volume in Å³/f.u.: 218.6
Total magnetic moment in μB per formula unit: 0.0

---

# 3
Here is a relaxed structure of LaTm12Al3 from Alexandria. Energies are from PBE.

```
16
Lattice="4.7386 0.0000 0.0000 0.0000 4.7386 0.0000 0.0000 0.0000 19.4413" Properties=species:S:1:pos:R:3 pbc="T T T"
La 0.0000 0.0000 0.0000
Tm 0.0000 2.3693 2.6967
Tm 0.0000 2.3693 7.3833
Tm 0.0000 2.3693 12.0580
Tm 0.0000 2.3693 16.7446
Tm 2.3693 0.0000 2.6967
Tm 2.3693 0.0000 7.3833
Tm 2.3693 0.0000 12.0580
Tm 2.3693 0.0000 16.7446
Tm 2.3693 2.3693 0.0000
Tm 2.3693 2.3693 5.0654
Tm 2.3693 2.3693 9.7207
Tm 2.3693 2.3693 14.3759
Al 0.0000 0.0000 5.0547
Al 0.0000 0.0000 9.7207
Al 0.0000 0.0000 14.3866
```

ΔH_f (0 K) in eV/atom: -0.116
Calculated volume in Å³/f.u.: 436.5
Total magnetic moment in μB per formula unit: 0.0

---

# 4
Here is a relaxed structure of LaScIr2 from Alexandria. Energies are from PBE.

```
4
Lattice="0.0000 3.3588 3.3588 3.3588 0.0000 3.3588 3.3588 3.3588 0.0000" Properties=species:S:1:pos:R:3 pbc="T T T"
La 0.0000 0.0000 0.0000
Sc 1.6794 1.6794 1.6794
Ir 3.3588 3.3588 3.3588
Ir 5.0381 5.0381 5.0381
```

ΔH_f (0 K) in eV/atom: -0.271
Offset from the most stable computed form in eV per formula unit: 1.82
Calculated volume in Å³/f.u.: 75.8
Total magnetic moment in μB per formula unit: 0.0

---

# 5
Here is a relaxed structure of CuRhSe from Alexandria. Energies are from PBE.

```
3
Lattice="3.2844 0.0000 0.0000 -1.6422 2.8444 0.0000 0.0000 0.0000 5.6948" Properties=species:S:1:pos:R:3 pbc="T T T"
Cu 0.0000 0.0000 0.0000
Rh 1.6422 0.9481 1.8624
Se 0.0000 0.0000 3.3103
```

Offset from the most stable computed form in eV per formula unit: 0.08
Calculated volume in Å³/f.u.: 53.2
Total magnetic moment in μB per formula unit: 0.0
Formation energy from raw total energies in eV per atom: 0.017

---

# 6
Here is a relaxed structure of Fe2ReOs from Alexandria. Energies are from PBE.

```
4
Lattice="2.6371 0.0000 0.0000 0.0000 3.6133 0.0000 0.0000 0.0000 5.2816" Properties=species:S:1:pos:R:3 pbc="T T T"
Fe 0.0000 0.0000 1.3010
Fe 0.0000 0.0000 3.9806
Re 1.3185 1.8067 2.6408
Os 1.3185 1.8067 0.0000
```

ΔH_f (0 K) in eV/atom: 0.112
Calculated volume in Å³/f.u.: 50.3
Total magnetic moment in μB per formula unit: 0.0

---

# 7
Here is a relaxed structure of Ta2CuHAu from Alexandria. Energies are from PBE.

```
5
Lattice="4.0964 0.0000 0.0000 0.0000 4.0964 0.0000 0.0000 0.0000 4.0594" Properties=species:S:1:pos:R:3 pbc="T T T"
Ta 0.0000 2.0482 0.0000
Ta 2.0482 0.0000 0.0000
Cu 0.0000 0.0000 2.0297
H 0.0000 0.0000 0.0000
Au 2.0482 2.0482 2.0297
```

Total DFT energy (no corrections) in eV/atom: -6.891
Calculated volume in Å³/f.u.: 68.1
Total magnetic moment in μB per formula unit: 0.0

---

# 8
Here is a relaxed structure of Pm2CuSb4 from Alexandria. Energies are from PBE.

```
7
Lattice="4.4030 0.0000 0.0000 0.0000 4.4030 0.0000 0.0000 0.0000 9.6012" Properties=species:S:1:pos:R:3 pbc="T T T"
Pm 0.0000 2.2015 2.2812
Pm 2.2015 0.0000 7.3200
Cu 2.2015 2.2015 0.0000
Sb 0.0000 0.0000 4.8006
Sb 0.0000 2.2015 8.2627
Sb 2.2015 0.0000 1.3385
Sb 2.2015 2.2015 4.8006
```

Calculated volume in Å³/f.u.: 186.1
Total magnetic moment in μB per formula unit: 0.0
Formation energy from raw total energies in eV per atom: -0.730

---

# 9
Here is a relaxed structure of Ce2GeH3 from Alexandria. Energies are from PBE.

```
12
Lattice="7.5199 -1.9813 0.0000 7.5199 1.9813 0.0000 -2.9402 0.0000 6.0227" Properties=species:S:1:pos:R:3 pbc="T T T"
Ce -0.4049 0.0000 1.3659
Ce 3.5763 0.0000 1.9202
Ce 8.5233 0.0000 4.1024
Ce 12.5044 0.0000 4.6568
Ge 2.7176 0.0000 5.5913
Ge 9.3820 0.0000 0.4314
H -0.3971 0.0000 3.7221
H 1.4618 0.0000 2.8254
H 5.0145 0.0000 3.6430
H 7.0850 0.0000 2.3797
H 10.6378 0.0000 3.1973
H 12.4966 0.0000 2.3005
```

Offset from the most stable computed form in eV per formula unit: 0.00
Calculated volume in Å³/f.u.: 89.7
Total magnetic moment in μB per formula unit: 1.0

---

# 10
Here is a relaxed structure of Pu4Bi2Te from Alexandria. Energies are from PBE.

```
14
Lattice="-4.7247 4.7247 4.7135 4.7247 -4.7247 4.7135 4.7247 4.7247 -4.7135" Properties=species:S:1:pos:R:3 pbc="T T T"
Pu 3.9897 3.0728 -1.9378
Pu 6.3766 0.7350 0.4190
Pu 0.7350 3.0728 -0.4190
Pu 0.7350 1.6519 2.7758
Pu 1.6519 -0.7350 6.6513
Pu 3.9897 1.6519 4.2945
Pu 3.0728 5.4597 1.9378
Pu -1.6519 3.9897 5.1325
Bi 2.3623 -1.1595 3.5351
Bi 3.5652 2.3623 1.1784
Bi 2.3623 5.8842 -1.1784
Bi 1.1595 2.3623 5.8919
Te 0.0000 0.0000 0.0000
Te 0.0000 4.7247 2.3568
```

Calculated volume in Å³/f.u.: 210.4
Total magnetic moment in μB per formula unit: 24.0
Formation energy from raw total energies in eV per atom: -0.559

---

# 11
Here is a relaxed structure of Ce2DyI6 from Alexandria. Energies are from PBE.

```
9
Lattice="8.7484 -2.0997 0.0000 8.7484 2.0997 0.0000 -4.9966 0.0000 10.4054" Properties=species:S:1:pos:R:3 pbc="T T T"
Ce 1.3638 0.0000 3.6497
Ce 11.1363 0.0000 6.7557
Dy 8.7484 0.0000 0.0000
I 2.2045 0.0000 0.4850
I -0.0302 0.0000 6.5316
I 4.7496 0.0000 7.5001
I 7.7506 0.0000 2.9053
I 12.5304 0.0000 3.8738
I 10.2957 0.0000 9.9205
```

Calculated volume in Å³/f.u.: 382.3
Total magnetic moment in μB per formula unit: 4.0
Formation energy from raw total energies in eV per atom: -1.227

---

# 12
Here is a relaxed structure of RbLiPbSe2 from Alexandria. Energies are from PBE.

```
10
Lattice="7.9655 -2.2551 0.0000 7.9655 2.2551 0.0000 -0.3017 0.0000 9.5749" Properties=species:S:1:pos:R:3 pbc="T T T"
Rb 2.7840 0.0000 1.7431
Rb 12.8453 0.0000 7.8318
Li 2.9217 0.0000 5.3978
Li 12.7076 0.0000 4.1771
Pb 6.9739 0.0000 2.7987
Pb 8.6554 0.0000 6.7762
Se 2.1645 0.0000 7.8938
Se 5.5590 0.0000 5.2234
Se 10.0702 0.0000 4.3514
Se 13.4648 0.0000 1.6811
```

Calculated volume in Å³/f.u.: 172.0
Total magnetic moment in μB per formula unit: 0.0
Formation energy from raw total energies in eV per atom: -0.934

---

# 13
Here is a relaxed structure of NbReF2 from Alexandria. Energies are from PBE.

```
4
Lattice="1.3669 0.7892 8.1143 -1.3669 0.7892 8.1143 0.0000 -1.5783 8.1143" Properties=species:S:1:pos:R:3 pbc="T T T"
Nb 0.0000 0.0000 0.0000
Re 0.0000 0.0000 12.1714
F 0.0000 0.0000 10.0930
F 0.0000 0.0000 14.2499
```

Offset from the most stable computed form in eV per formula unit: 0.00
Calculated volume in Å³/f.u.: 52.5
Total magnetic moment in μB per formula unit: 0.0
Formation energy from raw total energies in eV per atom: -0.737

---

# 14
Here is a relaxed structure of Sr4LiTm3Te8 from Alexandria. Energies are from PBE.

```
16
Lattice="4.4902 2.5924 7.4327 -4.4902 2.5924 7.4327 0.0000 -5.1849 7.4327" Properties=species:S:1:pos:R:3 pbc="T T T"
Sr 0.0000 0.0000 0.0000
Sr -2.2451 -1.2962 7.4327
Sr -2.2451 1.2962 14.8654
Sr 0.0000 2.5924 7.4327
Li 0.0000 0.0000 11.1491
Tm -4.4902 0.0000 11.1491
Tm -2.2451 1.2962 3.7163
Tm 2.2451 1.2962 3.7164
Te 0.0000 0.0000 5.4014
Te -2.2433 -1.2951 12.8130
Te 0.0000 -2.5903 9.4851
Te -2.2433 1.2952 9.4851
Te 2.2433 -1.2951 12.8130
Te 0.0000 2.5903 12.8130
Te 2.2433 1.2951 9.4851
Te 0.0000 0.0000 16.8967
```

Calculated volume in Å³/f.u.: 519.1
Total magnetic moment in μB per formula unit: 0.0
Formation energy from raw total energies in eV per atom: -1.465

---

# 15
Here is a relaxed structure of CaErCd17 from Alexandria. Energies are from PBE.

```
19
Lattice="5.0398 2.9098 5.0449 -5.0398 2.9098 5.0449 0.0000 -5.8195 5.0449" Properties=species:S:1:pos:R:3 pbc="T T T"
Ca 0.0000 0.0000 0.0000
Er 0.0000 0.0000 9.9441
Cd -1.5447 -2.6420 5.0263
Cd -3.0604 -0.0167 5.0263
Cd -2.3274 -1.3437 7.9091
Cd 0.0000 0.0000 3.6869
Cd 0.0000 -3.2204 7.4462
Cd -2.7889 1.6102 7.4462
Cd 1.5447 -2.6420 5.0263
Cd -1.5157 2.6587 5.0263
Cd 0.0000 0.0000 6.6072
Cd -2.0033 -1.1566 12.3564
Cd 3.0604 -0.0167 5.0263
Cd 1.5157 2.6587 5.0263
Cd 2.3274 -1.3437 7.9091
Cd 0.0000 2.6875 7.9091
Cd 2.7889 1.6102 7.4462
Cd 2.0033 -1.1566 12.3564
Cd 0.0000 2.3133 12.3564
```

ΔH_f (0 K) in eV/atom: -0.108
Calculated volume in Å³/f.u.: 443.9
Total magnetic moment in μB per formula unit: 0.0

---

# 16
Here is a relaxed structure of LaMg2Ni from Alexandria. Energies are from PBE.

```
4
Lattice="0.0000 3.5182 3.5182 3.5182 0.0000 3.5182 3.5182 3.5182 0.0000" Properties=species:S:1:pos:R:3 pbc="T T T"
La 0.0000 0.0000 0.0000
Mg 1.7591 1.7591 1.7591
Mg 5.2773 5.2773 5.2773
Ni 3.5182 3.5182 3.5182
```

ΔH_f (0 K) in eV/atom: 0.094
Calculated volume in Å³/f.u.: 87.1
Total magnetic moment in μB per formula unit: 0.0

---

# 17
Here is a relaxed structure of SrMg2Cr from Alexandria. Energies are from PBE.

```
4
Lattice="4.3130 -2.4849 0.0000 4.3130 2.4849 0.0000 -2.8658 0.0000 5.6021" Properties=species:S:1:pos:R:3 pbc="T T T"
Sr 0.0000 0.0000 0.0000
Mg 0.0081 0.0000 3.3532
Mg 2.8798 0.0000 2.4705
Cr 5.7526 0.0000 2.2496
```

ΔH_f (0 K) in eV/atom: 0.328
Calculated volume in Å³/f.u.: 120.1
Total magnetic moment in μB per formula unit: 4.5

---

# 18
Here is a relaxed structure of AgRh2Pb2 from Alexandria. Energies are from PBE.

```
10
Lattice="7.9262 0.0000 0.0000 0.0000 7.9262 0.0000 0.0000 0.0000 3.1567" Properties=species:S:1:pos:R:3 pbc="T T T"
Ag 0.0000 0.0000 0.0000
Ag 3.9631 3.9631 0.0000
Rh 1.0999 2.8632 1.5783
Rh 2.8632 6.8263 1.5783
Rh 5.0630 1.0999 1.5783
Rh 6.8263 5.0630 1.5783
Pb 1.2496 5.2127 0.0000
Pb 2.7135 1.2496 0.0000
Pb 5.2127 6.6766 0.0000
Pb 6.6766 2.7135 0.0000
```

ΔH_f (0 K) in eV/atom: 0.136
Offset from the most stable computed form in eV per formula unit: 0.47
Calculated volume in Å³/f.u.: 99.2
Total magnetic moment in μB per formula unit: 0.0

---

# 19
Here is a relaxed structure of Ho2PaOs2 from Alexandria. Energies are from PBE.

```
10
Lattice="4.9704 -2.9021 0.0000 4.9704 2.9021 0.0000 -1.6547 0.0000 7.8776" Properties=species:S:1:pos:R:3 pbc="T T T"
Ho 1.2375 0.8012 1.1804
Ho 0.4101 -0.8012 5.1192
Ho 7.8761 0.8012 2.7584
Ho 7.0487 -0.8012 6.6972
Pa 4.5568 0.8334 1.9694
Pa 3.7294 -0.8334 5.9082
Os 2.8200 0.7969 3.8766
Os 6.2935 0.7969 0.0622
Os 1.9927 -0.7969 7.8154
Os 5.4661 -0.7969 4.0010
```

ΔH_f (0 K) in eV/atom: -0.360
Calculated volume in Å³/f.u.: 113.6
Total magnetic moment in μB per formula unit: 0.0

---

# 20
Here is a relaxed structure of ZrRe2Te from Alexandria. Energies are from PBE.

```
4
Lattice="4.6493 -1.6107 0.0000 4.6493 1.6107 0.0000 -1.1014 0.0000 4.8788" Properties=species:S:1:pos:R:3 pbc="T T T"
Zr 0.0000 0.0000 0.0000
Re 1.5112 0.0000 3.6870
Re 6.6860 0.0000 1.1918
Te 4.0986 0.0000 2.4394
```

Calculated volume in Å³/f.u.: 73.1
Total magnetic moment in μB per formula unit: 0.0
Formation energy from raw total energies in eV per atom: 0.381

---

# 21
Here is a relaxed structure of ThMgPtRh from Alexandria. Energies are from PBE.

```
4
Lattice="0.0000 3.4336 3.4336 3.4336 0.0000 3.4336 3.4336 3.4336 0.0000" Properties=species:S:1:pos:R:3 pbc="T T T"
Th 0.0000 0.0000 0.0000
Mg 3.4336 3.4336 3.4336
Pt 5.1503 5.1503 5.1503
Rh 1.7168 1.7168 1.7168
```

ΔH_f (0 K) in eV/atom: -0.827
Calculated volume in Å³/f.u.: 81.0
Total magnetic moment in μB per formula unit: 0.0

---

# 22
Here is a relaxed structure of BaFeP from Alexandria. Energies are from PBE.

```
3
Lattice="0.0000 3.6151 3.6151 3.6151 0.0000 3.6151 3.6151 3.6151 0.0000" Properties=species:S:1:pos:R:3 pbc="T T T"
Ba 0.0000 0.0000 0.0000
Fe 5.4227 5.4227 5.4227
P 1.8076 1.8076 1.8076
```

ΔH_f (0 K) in eV/atom: 0.968
Calculated volume in Å³/f.u.: 94.5
Total magnetic moment in μB per formula unit: 3.8

---

# 23
Here is a relaxed structure of CdMo2Se from Alexandria. Energies are from PBE.

```
4
Lattice="1.6261 -2.3628 0.0000 1.6261 2.3628 0.0000 0.0000 0.0000 10.0804" Properties=species:S:1:pos:R:3 pbc="T T T"
Cd 0.0000 0.0000 0.0000
Mo 0.0000 0.0000 4.5175
Mo 1.6261 0.0000 2.4764
Se 1.6261 0.0000 6.6262
```

Offset from the most stable computed form in eV per formula unit: 0.42
Calculated volume in Å³/f.u.: 77.5
Total magnetic moment in μB per formula unit: 0.0
Formation energy from raw total energies in eV per atom: 0.251